Entry 1:
Mn2ZnMo, relaxed, DFT PBE; total magnetization = 2.1 μB/f.u.; formation energy from the elements = 116.0 meV per atom; ρ = 8.68 g/cm3; calculated volume = 12.973 Å³/atom; crystal system = tetragonal
1.0
3.2360 0.0000 0.0000
0.0000 4.0046 0.0000
0.0000 0.0000 4.0046
Mn Zn Mo
2 1 1
direct
0.0000 0.5000 0.0000 Mn
0.0000 0.0000 0.5000 Mn
0.5000 0.0000 0.0000 Zn
0.5000 0.5000 0.5000 Mo



Entry 2:
PmIn2Te, relaxed, DFT PBE; E_tot = -15.5 eV per cell; total magnetization = 0.0 μB/f.u.; ρ = 7.56 g/cm3; calculated volume = 27.564 Å³/atom; crystal system = tetragonal
1.0
5.1254 0.0000 0.0000
0.0000 4.6380 0.0000
0.0000 0.0000 4.6380
Te In Pm
1 2 1
direct
0.5000 0.0000 0.0000 Te
0.0000 0.5000 0.0000 In
0.0000 0.0000 0.5000 In
0.5000 0.5000 0.5000 Pm



Entry 3:
TaHgTe2, relaxed, DFT PBE; E_tot = -16.2 eV per cell; total magnetization = 0.0 μB/f.u.; ρ = 11.27 g/cm3; calculated volume = 23.463 Å³/atom; crystal system = tetragonal
1.0
3.5325 0.0000 0.0000
0.0000 5.1545 0.0000
0.0000 0.0000 5.1545
Hg Ta Te
1 1 2
direct
0.5000 0.5000 0.0000 Hg
0.5000 0.0000 0.5000 Ta
0.0000 0.5000 0.5000 Te
0.0000 0.0000 0.0000 Te